## RuPtRh (PBE)

Data for crystalline RuPtRh at its relaxed geometry.

Unit cell a=2.720 b=2.720 c=11.801 alpha=90.00 beta=90.00 gamma=90.00
Space group I4mm (No. 107)
Symmetry-distinct sites (fractional):
Ru  0.000  0.000  0.000 (multiplicity 2)
Pt  0.000  0.000  0.669 (multiplicity 2)
Rh  0.000  0.000  0.345 (multiplicity 2)

Values from the calculation:
**Total moment**: 0.000 μB per atom
**E above lowest polymorph**: 0 meV per atom
**Energy relative to the elements**: -0.08 eV/f.u.
**VASP energy**: -7.58 eV per atom